! La3InSb, optimized geometry, DFT PBE; values from VASP
&SYSTEM
  ibrav = 0, nat = 5, ntyp = 3
/
ATOMIC_SPECIES
La 138.91 La.upf
Sb 121.76 Sb.upf
In 114.82 In.upf
ATOMIC_POSITIONS crystal
La 0.000 0.500 0.000
Sb 0.000 0.000 0.000
La 0.000 0.000 0.500
La 0.500 0.000 0.000
In 0.500 0.500 0.500
CELL_PARAMETERS angstrom
-3.072 4.817 1.771
-3.248 -0.227 -5.017
-3.974 -3.539 2.732
! D(E_F)	2.97	states/eV/cell
! magnetic moment	0.00	μB per formula unit
! energy above the most stable polymorph in this dataset	453	meV/atom
! calculated volume	214.00	Å³ per cell
! formation energy from raw total energies	-1.05	eV per formula unit